Density functional theory data (PBE) for a relaxed structure of KTiGeS2.

Results
Crystal system: tetragonal
Formation energy from raw total energies: 175 meV/atom

Cell: 5.167 4.838 5.167 Å, 90.00 90.00 90.00°
Last column: magnetic moment on the atom in μB.
Fractional coordinates of all 5 atoms:
S  0.500  0.000  0.000  -0.11
S  0.000  0.000  0.500  -0.06
K  0.500  0.500  0.500  0.01
Ti  0.000  0.500  0.000  1.44
Ge  0.000  0.000  0.000  0.00



Density functional theory data (PBE) for a relaxed structure of K2TbBe2S4.

Results
Crystal system: monoclinic
Formation energy from raw total energies: -1214 meV/atom

Cell: 3.678 7.892 7.543 Å, 111.79 104.11 90.00°
Fractional coordinates of all 9 atoms:
Tb  0.000  0.000  0.000
Be  0.671  0.975  0.342
Be  0.329  0.025  0.658
K  0.127  0.550  0.254
K  0.873  0.450  0.746
S  0.792  0.860  0.584
S  0.208  0.140  0.416
S  0.467  0.235  0.935
S  0.533  0.765  0.065



Density functional theory data (PBE) for a relaxed structure of LiCe2Al3Zn4.

Results
ΔE_f: -28.0 kJ per mole of atoms
Crystal system: tetragonal

Cell: 4.313 4.313 10.473 Å, 90.00 90.00 90.00°
Last column: magnetic moment on the atom in μB.
Fractional coordinates of all 10 atoms:
Ce  0.000  0.500  0.757  0.63
Ce  0.500  0.000  0.243  0.63
Zn  0.500  0.500  0.000  -0.01
Zn  0.500  0.000  0.630  0.01
Zn  0.000  0.000  0.000  -0.01
Zn  0.000  0.500  0.370  0.01
Al  0.500  0.000  0.865  -0.01
Al  0.000  0.000  0.500  -0.01
Al  0.000  0.500  0.135  -0.01
Li  0.500  0.500  0.500  0.01



Density functional theory data (PBE) for a relaxed structure of CeNdNbN3.

Results
Crystal system: monoclinic
Formation energy from raw total energies: -1020 meV/atom

Cell: 3.488 7.510 7.955 Å, 90.97 90.00 90.00°
Last column: magnetic moment on the atom in μB.
Fractional coordinates of all 12 atoms:
N  0.750  0.169  0.457  -0.01
N  0.250  0.123  0.842  -0.02
N  0.250  0.831  0.543  -0.01
N  0.750  0.365  0.122  -0.01
N  0.250  0.635  0.878  -0.01
N  0.750  0.877  0.158  -0.02
Nb  0.750  0.883  0.416  0.20
Nb  0.250  0.117  0.584  0.20
Nd  0.250  0.608  0.168  0.08
Nd  0.750  0.392  0.832  0.08
Ce  0.250  0.147  0.154  0.41
Ce  0.750  0.853  0.846  0.41



Density functional theory data (PBE) for a relaxed structure of Tb4Pm5Pr.

Results
ΔE_f: 1.3 kJ per mole of atoms
Crystal system: triclinic

Cell: 3.623 10.243 9.566 Å, 105.76 100.87 89.95°
Fractional coordinates of all 10 atoms:
Pm  0.500  0.500  0.000
Pm  0.300  0.400  0.599
Pm  0.700  0.600  0.401
Pm  0.101  0.801  0.202
Pm  0.899  0.199  0.798
Tb  0.300  0.900  0.599
Tb  0.700  0.100  0.401
Tb  0.899  0.700  0.798
Tb  0.101  0.300  0.202
Pr  0.500  0.000  0.000



Density functional theory data (PBE) for a relaxed structure of SmPu4P5.

Results
ΔE_f: -115.4 kJ per mole of atoms
Crystal system: orthorhombic

Cell: 4.019 5.668 10.605 Å, 105.50 100.92 90.00°
Last column: magnetic moment on the atom in μB.
Fractional coordinates of all 10 atoms:
Pu  0.599  0.599  0.198  4.92
Pu  0.201  0.201  0.403  -4.92
Pu  0.401  0.401  0.802  4.92
Pu  0.799  0.799  0.597  -4.92
P  0.199  0.699  0.399  0.05
P  0.396  0.896  0.792  0.00
P  0.801  0.301  0.601  0.05
P  0.604  0.104  0.208  0.00
P  0.000  0.500  0.000  -0.12
Sm  0.000  0.000  0.000  0.01



Density functional theory data (PBE) for a relaxed structure of BaCdRe2.

Results
ΔE_f: 42.4 kJ per mole of atoms
Crystal system: monoclinic

Cell: 3.201 3.199 9.225 Å, 69.81 90.00 90.00°
Fractional coordinates of all 4 atoms:
Cd  0.500  0.691  0.808
Ba  0.000  0.521  0.480
Re  0.000  0.966  0.034
Re  0.500  0.322  0.178



Density functional theory data (PBE) for a relaxed structure of CeAgHg3.

Results
ΔE_f: -6.1 kJ per mole of atoms
Crystal system: monoclinic

Cell: 5.564 4.978 11.314 Å, 102.71 120.21 90.00°
Last column: magnetic moment on the atom in μB.
Fractional coordinates of all 10 atoms:
Hg  0.962  0.205  0.410  0.00
Hg  0.662  0.302  0.604  0.00
Hg  0.038  0.795  0.590  0.00
Hg  0.780  0.014  0.029  0.02
Hg  0.338  0.698  0.396  0.00
Hg  0.220  0.986  0.971  0.02
Ce  0.641  0.601  0.201  1.06
Ce  0.359  0.399  0.799  1.06
Ag  0.666  0.867  0.733  0.00
Ag  0.334  0.133  0.267  0.00



Density functional theory data (PBE) for a relaxed structure of Hf2InTe.

Results
Crystal system: trigonal
Formation energy from raw total energies: -167 meV/atom

Cell: 3.498 3.498 9.097 Å, 78.91 78.91 60.00°
Fractional coordinates of all 4 atoms:
Te  0.667  0.667  0.999
Hf  0.254  0.254  0.239
Hf  0.080  0.080  0.761
In  0.500  0.500  0.501



Density functional theory data (PBE) for a relaxed structure of LaPu2Pb.

Results
ΔE_f: -16.2 kJ per mole of atoms
Crystal system: tetragonal

Cell: 5.127 4.767 4.767 Å, 90.00 90.00 90.00°
Last column: magnetic moment on the atom in μB.
Fractional coordinates of all 4 atoms:
Pu  0.000  0.000  0.500  5.71
Pu  0.000  0.500  0.000  5.71
Pb  0.500  0.000  0.000  -0.09
La  0.500  0.500  0.500  0.28



Density functional theory data (PBE) for a relaxed structure of KTcAs2.

Results
ΔE_f: 44.7 kJ per mole of atoms
Crystal system: cubic

Cell: 4.708 4.708 4.708 Å, 60.00 60.00 60.00°
Fractional coordinates of all 4 atoms:
Tc  0.500  0.500  0.500
As  0.750  0.750  0.750
As  0.250  0.250  0.250
K  0.000  0.000  0.000



Density functional theory data (PBE) for a relaxed structure of BaP3O.

Results
Crystal system: cubic
Formation energy from raw total energies: 2175 meV/atom

Cell: 5.693 5.693 5.693 Å, 90.00 90.00 90.00°
Fractional coordinates of all 5 atoms:
O  0.500  0.500  0.500
P  0.500  0.000  0.000
P  0.000  0.000  0.500
P  0.000  0.500  0.000
Ba  0.000  0.000  0.000



Final energy (eV/atom)
-4.20 -4.63 -3.30 -8.64 -4.69 -10.11 -6.49 -2.00 -6.61 -9.49 -4.73 -2.45